Material: NbInCuTe
Method: DFT, PBE-GGA
State: optimized geometry

Cell lengths 3.6904, 3.6904, 7.6919 Å; angles 105.73, 105.73, 71.62 degrees
Element x y z (fractional)
1 Nb 0.0000 0.0000 0.0000
2 In 0.6195 0.6195 0.6401
3 Cu 0.3193 0.3193 0.8230
4 Te 0.4661 0.4661 0.2347

DFT total energy = -19.663 eV/cell
ΔE to the lowest computed polymorph = 10.0 kJ per mole of atoms
Energy relative to the elements, uncorrected = 2.21 kcal/mol of atoms